Here is a relaxed structure of Li6VO3F3 from Alexandria. Energies are from GGA+U.

## Properties
For the spin magnetization, the calculation gives 0.154 μB/atom. The calculation puts the total DFT energy (no corrections) at -139.469 eV per cell.

abc: 5.2295 6.5937 7.8941
angles: 89.67 92.16 106.15
Last column: nearest neighbours and their distance in Å.
Sites, in units of the cell vectors:
1 Li 0.8877 0.0820 0.3407  3 F 2.00-2.12, 2 O 2.07-2.13
2 Li 0.7628 0.6645 0.2202  3 O 1.98-2.07, 1 F 2.00
3 Li 0.7054 0.1735 0.7612  2 O 1.92, 2 F 1.99-2.02
4 Li 0.0729 0.4527 0.1415  3 O 1.93-1.95, 1 F 2.11
5 Li 0.3962 0.8003 0.9084  2 F 1.97-2.13, 2 O 2.03-2.05
6 Li 0.4435 0.3226 0.4133  2 O 1.98-2.09, 3 F 1.99-2.20
7 Li 0.5581 0.6776 0.6027  2 O 1.91-1.95, 2 F 2.01-2.09
8 Li 0.6159 0.1967 0.1052  2 O 1.93-1.94
9 Li 0.9325 0.5449 0.8532  4 O 1.95-2.18
10 Li 0.2799 0.3519 0.7620  2 F 2.00-2.05, 3 O 2.12-2.18
11 Li 0.3265 0.8332 0.2290  2 O 1.88-1.91, 2 F 1.95-2.05
12 Li 0.0944 0.9114 0.6556  4 F 1.97-2.12, 1 O 2.03
13 V 0.9661 0.4938 0.5111  3 O 1.93-1.98, 2 F 2.14-2.15
14 V 0.9819 0.9943 0.0089  3 O 1.92-1.97, 1 F 2.13
15 O 0.7833 0.3687 0.2976  5 Li 1.93-2.13, 1 V 1.97
16 O 0.9634 0.2764 0.9431  3 Li 1.92-1.95, 1 V 1.96
17 O 0.6517 0.4151 0.6446  4 Li 1.92-2.12, 1 V 1.93
18 O 0.6656 0.9182 0.1375  4 Li 1.88-2.07, 1 V 1.92
19 O 0.0680 0.7262 0.0508  5 Li 1.91-2.07, 1 V 1.97
20 O 0.2156 0.6473 0.6923  5 Li 1.91-2.13, 1 V 1.98
21 F 0.8855 0.7873 0.4505  4 Li 1.97-2.12, 1 V 2.14
22 F 0.2355 0.1164 0.2277  4 Li 2.01-2.17, 1 V 2.15
23 F 0.3425 0.0782 0.8545  4 Li 1.97-2.10
24 F 0.3251 0.5761 0.3536  3 Li 1.95-2.11
25 F 0.7617 0.8838 0.7790  4 Li 1.99-2.13, 1 V 2.13
26 F 0.0782 0.2071 0.5562  4 Li 2.00-2.20, 1 V 2.15